A geometry-optimized LaCdBr structure. Source: the Alexandria database, functional GGA-PBE.

Cell lengths 5.2242, 5.2242, 3.9328 Å; angles 90.00, 90.00, 120.00 degrees
Space group P-6m2 (No. 187)
One atom of each set of equivalent atoms:
La 0.0000 0.0000 0.0000 [1 per cell]
Cd 0.3333 0.6667 0.5000 [1 per cell]
Br 0.6667 0.3333 0.0000 [1 per cell]

Output
The energy above the most stable polymorph in this dataset is 307 meV/atom. As for the formation energy from raw total energies: -0.679 eV/atom.

***

A geometry-optimized LaCdBr2 structure. Source: the Alexandria database, functional GGA-PBE.

Cell lengths 4.484, 4.484, 11.157 Å; angles 90.00, 90.00, 90.00 degrees
Space group I-4m2 (No. 119)
One atom of each set of equivalent atoms:
La 0.000 0.000 0.000 [2 per cell]
Cd 0.000 0.500 0.250 [2 per cell]
Br 0.000 0.000 0.500 [2 per cell]
Br 0.000 0.500 0.750 [2 per cell]

Output
The energy above the most stable polymorph in this dataset is 233 meV/atom. As for the formation energy from raw total energies: -0.966 eV/atom.

***

A geometry-optimized LaCdBr structure. Source: the Alexandria database, functional GGA-PBE.

Cell lengths 3.697, 3.697, 14.650 Å; angles 90.00, 90.00, 90.00 degrees
Space group I4mm (No. 107)
One atom of each set of equivalent atoms:
La 0.000 0.000 0.000 [2 per cell]
Cd 0.000 0.000 0.349 [2 per cell]
Br 0.000 0.000 0.620 [2 per cell]

Output
The energy above the most stable polymorph in this dataset is 244 meV/atom. As for the formation energy from raw total energies: -0.742 eV/atom.